# GGA-PBE TmAlRh, optimized geometry
# Formation energy in meV/atom: -486
# Total magnetization in μB per cell: 0.00
# Crystal system: trigonal
data_TmAlRh
_symmetry_space_group_name_H-M 'R 3 m'
_symmetry_Int_Tables_number 160
_symmetry_space_group_name_Hall 'R 3 -2"'
_cell_length_a 3.7251
_cell_length_b 3.7251
_cell_length_c 16.0631
_cell_angle_alpha 90.00
_cell_angle_beta 90.00
_cell_angle_gamma 120.00
loop_
_atom_site_label
_atom_site_type_symbol
_atom_site_fract_x
_atom_site_fract_y
_atom_site_fract_z
Tm1 Tm 0.0000 0.0000 0.0000
Al1 Al 0.0000 0.0000 0.1882
Rh1 Rh 0.0000 0.0000 0.7793